Below is K2HoPWO8 after structural relaxation, with properties calculated at the PBE with a Hubbard U level.

## Properties
The final energy is -7.08 eV per atom. Its mass density is 4.6 g cm⁻³.

a = 12.249 Å, b = 12.249 Å, c = 12.249 Å
α = 147.04°, β = 120.01°, γ = 70.16°
Atoms (fractional coordinates):
K 0.078 0.684 0.449
K 0.235 0.184 0.106
K 0.265 0.371 0.949
K 0.422 0.871 0.606
K 0.578 0.129 0.394
K 0.735 0.629 0.051
K 0.765 0.816 0.894
K 0.922 0.316 0.551
Ho 0.174 0.750 0.924
Ho 0.326 0.250 0.576
Ho 0.674 0.750 0.424
Ho 0.826 0.250 0.076
P 0.070 0.250 0.320
P 0.430 0.750 0.180
P 0.570 0.250 0.820
P 0.930 0.750 0.680
W 0.086 0.836 0.250
W 0.414 0.664 0.750
W 0.586 0.336 0.250
W 0.914 0.164 0.750
O 0.055 0.326 0.259
O 0.067 0.826 0.771
O 0.082 0.159 0.811
O 0.108 0.675 0.007
O 0.144 0.417 0.574
O 0.152 0.729 0.311
O 0.157 0.083 0.227
O 0.167 0.100 0.493
O 0.333 0.825 0.933
O 0.343 0.570 0.926
O 0.348 0.659 0.577
O 0.356 0.930 0.273
O 0.392 0.400 0.567
O 0.418 0.229 0.077
O 0.433 0.204 0.759
O 0.445 0.704 0.271
O 0.555 0.296 0.729
O 0.567 0.796 0.241
O 0.582 0.771 0.923
O 0.608 0.600 0.433
O 0.644 0.070 0.727
O 0.652 0.341 0.423
O 0.657 0.430 0.074
O 0.667 0.175 0.067
O 0.833 0.900 0.507
O 0.843 0.917 0.773
O 0.848 0.271 0.689
O 0.856 0.583 0.426
O 0.892 0.325 0.993
O 0.918 0.841 0.189
O 0.933 0.174 0.229
O 0.945 0.674 0.741